Record 1
Computed, not measured: a relaxed structure of IrPdCl2 at the PBE level of DFT.

The space group is I-42d (No. 122) and the conventional cell measures 8.2113, 8.2113 and 5.2274 Å, with angles of 90.00, 90.00 and 90.00 degrees. The asymmetric unit holds Ir at (0.0000, 0.0000, 0.0000), Pd at (0.0000, 0.0000, 0.5000) and Cl at (0.1141, 0.2500, 0.1250).

For the formation energy from raw total energies, the calculation gives 44.4 kJ per mole of atoms. The relative energy among the computed polymorphs is 101 meV per atom.

***

Record 2
Computed, not measured: a relaxed structure of CaThNb2O8 at the PBE level of DFT.

The space group is C2 (No. 5) and the conventional cell measures 7.3132, 11.3558 and 5.2267 Å, with angles of 90.00, 131.79 and 90.00 degrees. The asymmetric unit holds Ca at (0.0000, 0.0000, 0.0000), Th at (0.0000, 0.2565, 0.5000), Nb at (0.0000, 0.5193, 0.0000), Nb at (0.0000, 0.7354, 0.5000), O at (0.1527, 0.4181, 0.9061), O at (0.1607, 0.8356, 0.4169), O at (0.2416, 0.5981, 0.4369) and O at (0.2480, 0.6637, 0.9468).

For the formation energy from raw total energies, the calculation gives -294.9 kJ per mole of atoms.

***

Record 3
Computed, not measured: a relaxed structure of TbIn2Ni9 at the PBE level of DFT.

The space group is P4/mbm (No. 127) and the conventional cell measures 8.2516, 8.2516 and 4.8431 Å, with angles of 90.00, 90.00 and 90.00 degrees. The asymmetric unit holds Tb at (0.0000, 0.0000, 0.0000), In at (0.1248, 0.3752, 0.0000), Ni at (0.0000, 0.5000, 0.5000), Ni at (0.0641, 0.2063, 0.5000) and Ni at (0.1764, 0.6764, 0.2490).

The energy relative to the elements comes out at -0.221 eV per atom. The relative energy among the computed polymorphs is 0 meV per atom.

***

Question: Number 3 is which compound?
Answer: TbIn2Ni9